[1]
Material: BeZnSe2
Method: DFT, PBE-GGA
State: optimized geometry

a b c (Å): 9.630 3.871 10.137
angles (deg): 90.00 90.00 90.00
Space group Pnma (No. 62)
One atom of each set of equivalent atoms:
Be 0.111 0.250 0.047
Zn 0.047 0.250 0.634
Se 0.026 0.750 0.137
Se 0.160 0.750 0.533

## Properties
E_form (uncorrected)	-0.631	eV/atom
crystal system	orthorhombic
relative energy among the computed polymorphs	0.46	eV/f.u.

---

[2]
Material: NbHSCl2
Method: DFT, PBE-GGA
State: optimized geometry

a b c (Å): 4.831 4.831 3.290
angles (deg): 90.00 90.00 90.00
Space group P4/mmm (No. 123)
One atom of each set of equivalent atoms:
Nb 0.000 0.000 0.000
H 0.500 0.500 0.500
S 0.500 0.500 0.000
Cl 0.000 0.500 0.500

## Properties
crystal system	tetragonal
relative energy among the computed polymorphs	3.37	eV/f.u.

---

[3]
Material: BaIr2W
Method: DFT, PBE-GGA
State: optimized geometry

a b c (Å): 3.448 5.883 9.429
angles (deg): 90.00 90.00 90.00
Space group Immm (No. 71)
One atom of each set of equivalent atoms:
Ba 0.000 0.000 0.000
Ir 0.000 0.500 0.185
W 0.000 0.000 0.500

## Properties
formation energy	0.71	eV per atom
crystal system	orthorhombic
relative energy among the computed polymorphs	2.54	eV/f.u.

---

[4]
Material: SrAgHg5
Method: DFT, PBE-GGA
State: optimized geometry

a b c (Å): 4.997 4.997 7.641
angles (deg): 90.00 90.00 90.00
Space group P4/mmm (No. 123)
One atom of each set of equivalent atoms:
Sr 0.000 0.000 0.000
Ag 0.000 0.000 0.500
Hg 0.000 0.500 0.295
Hg 0.500 0.500 0.000

## Properties
formation energy	-0.23	eV per atom
crystal system	tetragonal

---

[5]
Material: AlZn2In
Method: DFT, PBE-GGA
State: optimized geometry

a b c (Å): 4.276 4.276 17.747
angles (deg): 90.00 90.00 90.00
Space group I-42d (No. 122)
One atom of each set of equivalent atoms:
Al 0.000 0.000 0.000
Zn 0.204 0.250 0.125
In 0.000 0.000 0.500

## Properties
formation energy	0.16	eV per atom
crystal system	tetragonal
relative energy among the computed polymorphs	0.30	eV/f.u.

---

[6]
Material: SiPt2
Method: DFT, PBE-GGA
State: optimized geometry

a b c (Å): 4.5192 4.5192 2.7043
angles (deg): 90.00 90.00 120.00
Space group P6/mmm (No. 191)
One atom of each set of equivalent atoms:
Si 0.0000 0.0000 0.0000
Pt 0.3333 0.6667 0.5000

## Properties
E_form (uncorrected)	0.222	eV/atom
crystal system	hexagonal

---

[7]
Material: MnCoSiIr
Method: DFT, PBE-GGA
State: optimized geometry

a b c (Å): 5.863 5.863 5.863
angles (deg): 90.00 90.00 90.00
Space group F-43m (No. 216)
One atom of each set of equivalent atoms:
Mn 0.000 0.000 0.000
Co 0.250 0.250 0.250
Si 0.000 0.000 0.500
Ir 0.250 0.250 0.750

## Properties
E_form (uncorrected)	-0.416	eV/atom
crystal system	cubic

---

[8]
Material: Li2BeCr
Method: DFT, PBE-GGA
State: optimized geometry

a b c (Å): 10.457 2.253 4.325
angles (deg): 90.00 114.28 90.00
Space group C2/m (No. 12)
One atom of each set of equivalent atoms:
Li 0.220 0.000 0.221
Be 0.000 0.500 0.000
Cr 0.000 0.000 0.500

## Properties
formation energy	0.37	eV per atom
crystal system	monoclinic

---

[9]
Material: SiH3I
Method: DFT, PBE-GGA
State: optimized geometry

a b c (Å): 17.781 8.846 5.551
angles (deg): 90.00 104.41 90.00
Space group C2/c (No. 15)
One atom of each set of equivalent atoms:
Si 0.250 0.000 0.218
H 0.175 0.083 0.156
H 0.175 0.416 0.724
H 0.249 0.333 0.284
I 0.000 0.048 0.750
I 0.000 0.451 0.250

## Properties
crystal system	monoclinic
relative energy among the computed polymorphs	1.27	eV/f.u.

---

[10]
Material: Tl2Pd2Pt
Method: DFT, PBE-GGA
State: optimized geometry

a b c (Å): 4.241 15.500 5.773
angles (deg): 90.00 90.00 90.00
Space group Cmc2_1 (No. 36)
One atom of each set of equivalent atoms:
Tl 0.000 0.077 0.000
Tl 0.000 0.294 0.191
Pd 0.000 0.325 0.702
Pd 0.000 0.489 0.240
Pt 0.000 0.108 0.491

## Properties
formation energy	-0.12	eV per atom
crystal system	orthorhombic
relative energy among the computed polymorphs	0.00	eV/f.u.

---

[11]
Material: CaPr4Sm10
Method: DFT, PBE-GGA
State: optimized geometry

a b c (Å): 9.981 9.981 10.836
angles (deg): 90.00 90.00 90.00
Space group I4/m (No. 87)
One atom of each set of equivalent atoms:
Ca 0.000 0.000 0.000
Pr 0.066 0.664 0.000
Sm 0.000 0.500 0.250
Sm 0.114 0.789 0.341

## Properties
formation energy	0.30	eV per atom
crystal system	tetragonal

---

[12]
Material: Ti3Re2Mo3
Method: DFT, PBE-GGA
State: optimized geometry

a b c (Å): 4.419 4.455 6.273
angles (deg): 90.00 90.00 90.00
Space group Pmmm (No. 47)
One atom of each set of equivalent atoms:
Ti 0.000 0.000 0.000
Ti 0.000 0.000 0.500
Ti 0.500 0.500 0.000
Re 0.500 0.000 0.250
Mo 0.000 0.500 0.252
Mo 0.500 0.500 0.500

## Properties
formation energy	-0.25	eV per atom
crystal system	orthorhombic

---

Number 1: raw total energy -58.0 eV per cell, DOS at the Fermi energy 0.000 states/eV/atom. Number 2: raw total energy -19.1 eV per cell, DOS at the Fermi energy 0.525 states/eV/atom. Number 3: raw total energy -59.5 eV per cell, DOS at the Fermi energy 0.693 states/eV/atom. Number 4: raw total energy -7.6 eV per cell, DOS at the Fermi energy 0.372 states/eV/atom. Number 5: raw total energy -33.5 eV per cell, DOS at the Fermi energy 0.365 states/eV/atom. Number 6: raw total energy -16.8 eV per cell, DOS at the Fermi energy 1.387 states/eV/atom. Number 7: raw total energy -128.9 eV per cell, DOS at the Fermi energy 0.453 states/eV/atom. Number 8: raw total energy -31.4 eV per cell, DOS at the Fermi energy 0.547 states/eV/atom. Number 9: raw total energy -130.5 eV per cell, DOS at the Fermi energy 0.335 states/eV/atom. Number 10: raw total energy -87.0 eV per cell, DOS at the Fermi energy 0.224 states/eV/atom. Number 11: raw total energy -127.6 eV per cell, DOS at the Fermi energy 1.519 states/eV/atom. Number 12: raw total energy -83.1 eV per cell, DOS at the Fermi energy 0.863 states/eV/atom.